[1]
Computed, not measured: crystalline Ba2YSc2 at its relaxed geometry at the GGA-PBE level of DFT.

Energy relative to the lowest polymorph listed for this composition: 0.0 meV per atom
Crystal system: tetragonal

a = 9.9617 Å, b = 9.9617 Å, c = 3.7832 Å
α = 90.00°, β = 90.00°, γ = 90.00°
With the nearest neighbours (Å) after each atom.
Space group P4/mbm (No. 127)
Symmetry-distinct sites (fractional):
Ba1 0.1838 0.3162 0.0000 [4 per cell]  6 Sc 3.46-3.56, 2 Ba 3.78
Y1 0.0000 0.0000 0.5000 [2 per cell]  2 Y 3.78, 4 Sc 4.03, 8 Ba 4.11
Sc1 0.1106 0.6106 0.5000 [4 per cell]  1 Sc 3.12, 2 Ba 3.46

[2]
Computed, not measured: crystalline BaYSc3 at its relaxed geometry at the GGA-PBE level of DFT.

Energy relative to the lowest polymorph listed for this composition: 0.0 meV per atom
Crystal system: cubic

a = 5.6094 Å, b = 5.6094 Å, c = 5.6094 Å
α = 90.00°, β = 90.00°, γ = 90.00°
With the nearest neighbours (Å) after each atom.
Space group Pm-3m (No. 221)
Symmetry-distinct sites (fractional):
Ba1 0.0000 0.0000 0.0000 [1 per cell]  12 Sc 3.97
Y1 0.5000 0.5000 0.5000 [1 per cell]  6 Sc 2.80
Sc1 0.0000 0.5000 0.5000 [3 per cell]  2 Y 2.80

[3]
Computed, not measured: crystalline BaY2Sc2 at its relaxed geometry at the GGA-PBE level of DFT.

Energy relative to the lowest polymorph listed for this composition: 0.0 meV per atom
Crystal system: tetragonal

a = 9.5269 Å, b = 9.5269 Å, c = 3.6581 Å
α = 90.00°, β = 90.00°, γ = 90.00°
With the nearest neighbours (Å) after each atom.
Space group P4/mbm (No. 127)
Symmetry-distinct sites (fractional):
Ba1 0.0000 0.0000 0.0000 [2 per cell]  2 Ba 3.66, 4 Y 3.77, 8 Sc 4.00
Y1 0.1249 0.3751 0.0000 [4 per cell]  6 Sc 3.34-3.36, 3 Y 3.36-3.66
Sc1 0.1659 0.6659 0.5000 [4 per cell]  6 Y 3.34-3.36, 2 Sc 3.66

[4]
Computed, not measured: crystalline BaY2Sc2 at its relaxed geometry at the GGA-PBE level of DFT.

Energy relative to the lowest polymorph listed for this composition: 5.8 meV per atom
Crystal system: tetragonal

a = 9.6098 Å, b = 9.6098 Å, c = 3.5970 Å
α = 90.00°, β = 90.00°, γ = 90.00°
With the nearest neighbours (Å) after each atom.
Space group P4/mbm (No. 127)
Symmetry-distinct sites (fractional):
Ba1 0.0000 0.0000 0.0000 [2 per cell]  2 Ba 3.60, 4 Sc 3.86, 8 Y 3.99
Y1 0.1720 0.3280 0.5000 [4 per cell]  6 Sc 3.34-3.41, 2 Y 3.60
Sc1 0.1152 0.6152 0.0000 [4 per cell]  1 Sc 3.13, 6 Y 3.34-3.41

[5]
Computed, not measured: crystalline Ba2YSc2 at its relaxed geometry at the GGA-PBE level of DFT.

Energy relative to the lowest polymorph listed for this composition: 135.1 meV per atom
Crystal system: tetragonal

a = 4.7624 Å, b = 4.7624 Å, c = 16.6178 Å
α = 90.00°, β = 90.00°, γ = 90.00°
With the nearest neighbours (Å) after each atom.
Space group I4/mmm (No. 139)
Symmetry-distinct sites (fractional):
Ba1 0.0000 0.5000 0.2500 [4 per cell]  4 Ba 3.37, 4 Sc 3.67
Y1 0.0000 0.0000 0.0000 [2 per cell]  8 Sc 3.63
Sc1 0.0000 0.0000 0.4181 [4 per cell]  1 Sc 2.72

[6]
Computed, not measured: crystalline BaYSc4 at its relaxed geometry at the GGA-PBE level of DFT.

E_tot: -126.99 eV for the cell shown
Crystal system: cubic

a = 9.1276 Å, b = 9.1276 Å, c = 9.1276 Å
α = 90.00°, β = 90.00°, γ = 90.00°
With the nearest neighbours (Å) after each atom.
Space group F-43m (No. 216)
Symmetry-distinct sites (fractional):
Ba1 0.0000 0.0000 0.0000 [4 per cell]  12 Sc 3.80, 4 Y 3.95
Y1 0.2500 0.2500 0.2500 [4 per cell]  12 Sc 3.77, 4 Ba 3.95
Sc1 0.1194 0.1194 0.6194 [16 per cell]  6 Sc 3.08-3.37

[7]
Computed, not measured: crystalline BaY2ZrSc at its relaxed geometry at the GGA-PBE level of DFT.

E_tot: -25.56 eV for the cell shown
Crystal system: tetragonal

a = 5.6001 Å, b = 5.6001 Å, c = 6.0058 Å
α = 90.00°, β = 90.00°, γ = 90.00°
With the nearest neighbours (Å) after each atom.
Space group P4/mmm (No. 123)
Symmetry-distinct sites (fractional):
Ba1 0.0000 0.0000 0.0000 [1 per cell]  2 Zr 3.00
Y1 0.0000 0.5000 0.5000 [2 per cell]  2 Zr 2.80
Zr1 0.0000 0.0000 0.5000 [1 per cell]  4 Y 2.80, 2 Ba 3.00
Sc1 0.5000 0.5000 0.0000 [1 per cell]  4 Ba 3.96, 8 Y 4.11

[8]
Computed, not measured: crystalline Ba2ScZn at its relaxed geometry at the GGA-PBE level of DFT.

E_tot: -22.18 eV for the cell shown
Crystal system: orthorhombic

a = 3.8881 Å, b = 6.0229 Å, c = 12.5371 Å
α = 90.00°, β = 90.00°, γ = 90.00°
With the nearest neighbours (Å) after each atom.
Space group Imm2 (No. 44)
Symmetry-distinct sites (fractional):
Ba1 0.0000 0.0000 0.0000 [2 per cell]  2 Zn 3.57, 4 Sc 3.79, 4 Ba 3.89-3.92
Ba2 0.0000 0.5000 0.2001 [2 per cell]  4 Zn 3.62, 4 Ba 3.89-3.92, 2 Sc 3.93
Sc1 0.0000 0.0000 0.4010 [2 per cell]  2 Zn 2.81
Zn1 0.0000 0.5000 0.7390 [2 per cell]  2 Sc 2.81

[9]
Computed, not measured: crystalline Ba2ScZn at its relaxed geometry at the GGA-PBE level of DFT.

E_tot: -11.31 eV for the cell shown
Crystal system: tetragonal

a = 3.8404 Å, b = 3.8404 Å, c = 9.9045 Å
α = 90.00°, β = 90.00°, γ = 90.00°
With the nearest neighbours (Å) after each atom.
Space group P4mm (No. 99)
Symmetry-distinct sites (fractional):
Ba1 0.0000 0.0000 0.0000 [1 per cell]  1 Sc 3.39, 4 Zn 3.56
Ba2 0.5000 0.5000 0.3772 [1 per cell]  4 Ba 3.84, 1 Zn 3.87, 4 Sc 3.89
Sc1 0.0000 0.0000 0.6578 [1 per cell]  4 Zn 2.93
Zn1 0.5000 0.5000 0.7679 [1 per cell]  4 Sc 2.93

[10]
Computed, not measured: crystalline Ba2ScZn at its relaxed geometry at the GGA-PBE level of DFT.

E_tot: -39.64 eV for the cell shown
Crystal system: tetragonal

a = 9.4414 Å, b = 9.4414 Å, c = 6.8096 Å
α = 90.00°, β = 90.00°, γ = 90.00°
With the nearest neighbours (Å) after each atom.
Space group I-42d (No. 122)
Symmetry-distinct sites (fractional):
Ba1 0.2066 0.7500 0.1250 [8 per cell]  2 Zn 3.18, 2 Ba 3.50
Sc1 0.0000 0.0000 0.5000 [4 per cell]  2 Zn 3.40, 4 Ba 3.74
Zn1 0.0000 0.0000 0.0000 [4 per cell]  4 Ba 3.18, 2 Sc 3.40